(1)
Below is Zr3BiS after structural relaxation, with properties calculated at the PBE-GGA level.

a = 4.884 Å, b = 6.362 Å, c = 8.107 Å
α = 113.10°, β = 90.00°, γ = 90.00°
Element x y z (fractional)
1 S 0.500 0.119 0.238
2 S 0.500 0.881 0.762
3 Zr 0.500 0.735 0.000
4 Zr 0.500 0.500 0.500
5 Zr 0.500 0.265 0.000
6 Zr 0.000 0.167 0.334
7 Zr 0.500 0.000 0.500
8 Zr 0.000 0.833 0.666
9 Bi 0.000 0.622 0.245
10 Bi 0.000 0.378 0.755

Summary:
**SG**: Cmmm (65)
**Crystal system**: orthorhombic
**M_tot**: 0.0 μB per formula unit

---

(2)
Below is In2WBr after structural relaxation, with properties calculated at the PBE-GGA level.

a = 5.770 Å, b = 5.770 Å, c = 5.365 Å
α = 72.73°, β = 72.73°, γ = 31.03°
Element x y z (fractional)
1 Br 0.202 0.202 0.246
2 In 0.787 0.787 0.671
3 In 0.987 0.987 0.035
4 W 0.524 0.524 0.548

Summary:
**SG**: Cm (8)
**Crystal system**: monoclinic
**M_tot**: 0.0 μB per formula unit

---

no.,ΔE_f (raw) (eV/atom),energy relative to the lowest polymorph listed for this composition (kJ per mole of atoms),N(E_F) (states/eV/atom)
1,-0.552,15.18,0.89
2,0.466,10.23,0.47